1.
Material: BaSc4Fe
Method: DFT, PBE
State: relaxed

a b c (Å): 6.153 6.153 6.153
angles (deg): 60.00 60.00 60.00
Fractional positions:
Ba 0.750 0.750 0.750
Sc 0.372 0.883 0.372
Sc 0.883 0.372 0.372
Sc 0.372 0.372 0.883
Sc 0.372 0.372 0.372
Fe 0.000 0.000 0.000

Summary:
Electronic total energy = -5.25 eV per atom
Formation energy = 0.7023 eV per atom
Calculated volume = 164.7 Å³/f.u.

2.
Material: LaDy2Si
Method: DFT, PBE
State: relaxed

a b c (Å): 3.605 3.605 11.095
angles (deg): 80.65 80.65 60.00
Fractional positions:
La 0.000 0.000 0.000
Dy 0.892 0.892 0.324
Dy 0.108 0.108 0.676
Si 0.500 0.500 0.500

Summary:
Electronic total energy = -4.94 eV per atom
Energy relative to the elements, uncorrected = -0.05 eV/atom
Calculated volume = 122.6 Å³/f.u.

3.
Material: YGeTe2
Method: DFT, PBE
State: relaxed

a b c (Å): 6.098 6.098 9.221
angles (deg): 70.69 70.69 90.00
Fractional positions:
Y 0.750 0.250 0.500
Ge 0.250 0.750 0.500
Te 0.375 0.385 0.750
Ge 0.500 0.500 0.000
Y 0.000 0.000 0.000
Te 0.875 0.865 0.750
Te 0.135 0.625 0.250
Te 0.615 0.125 0.250

Summary:
Electronic total energy = -4.69 eV per atom
Energy relative to the elements, uncorrected = -0.35 eV/atom
Calculated volume = 151.5 Å³/f.u.

4.
Material: DyY2Ho6Er3
Method: DFT, PBE
State: relaxed

a b c (Å): 6.109 6.109 11.697
angles (deg): 94.98 94.98 119.93
Fractional positions:
Ho 0.752 0.752 0.252
Er 0.167 0.833 0.500
Dy 0.000 0.000 0.000
Ho 0.248 0.248 0.748
Er 0.500 0.500 0.500
Ho 0.417 0.084 0.252
Er 0.833 0.167 0.500
Y 0.333 0.667 0.000
Ho 0.916 0.583 0.748
Ho 0.583 0.916 0.748
Y 0.667 0.333 0.000
Ho 0.084 0.417 0.252

Summary:
Electronic total energy = -4.87 eV per atom
Formation energy = 0.0217 eV per atom
Calculated volume = 372.6 Å³/f.u.

5.
Material: Li3Nb2TcN6
Method: DFT, PBE
State: relaxed

a b c (Å): 5.293 5.293 5.421
angles (deg): 99.38 99.38 119.99
Fractional positions:
N 0.075 0.405 0.225
Nb 0.333 0.667 0.000
N 0.925 0.595 0.775
N 0.744 0.744 0.225
Li 0.500 0.500 0.500
N 0.595 0.925 0.775
Nb 0.667 0.333 0.000
N 0.256 0.256 0.775
Li 0.163 0.837 0.500
Li 0.837 0.163 0.500
N 0.405 0.075 0.225
Tc 0.000 0.000 0.000

Summary:
Electronic total energy = -7.76 eV per atom
Energy relative to the elements, uncorrected = -0.58 eV/atom
Calculated volume = 124.4 Å³/f.u.

6.
Material: HfSc2ZnBi
Method: DFT, PBE
State: relaxed

a b c (Å): 5.236 5.101 5.236
angles (deg): 90.00 90.00 90.00
Fractional positions:
Bi 0.500 0.500 0.500
Zn 0.000 0.500 0.000
Hf 0.000 0.000 0.000
Sc 0.000 0.000 0.500
Sc 0.500 0.000 0.000

Summary:
Electronic total energy = -4.82 eV per atom
Formation energy = 0.7381 eV per atom
Calculated volume = 139.8 Å³/f.u.

7.
Material: AlIN3
Method: DFT, PBE
State: relaxed

a b c (Å): 3.848 3.848 3.848
angles (deg): 90.00 90.00 90.00
Fractional positions:
I 0.500 0.500 0.500
N 0.000 0.000 0.500
N 0.000 0.500 0.000
Al 0.000 0.000 0.000
N 0.500 0.000 0.000

Summary:
Electronic total energy = -4.73 eV per atom
Energy relative to the elements, uncorrected = 1.33 eV/atom
Calculated volume = 57.0 Å³/f.u.

8.
Material: Li4LaPd
Method: DFT, PBE
State: relaxed

a b c (Å): 5.409 5.409 5.409
angles (deg): 60.00 60.00 60.00
Fractional positions:
Li 0.628 0.116 0.628
Li 0.116 0.628 0.628
Li 0.628 0.628 0.628
Li 0.628 0.628 0.116
Pd 0.000 0.000 0.000
La 0.250 0.250 0.250

Summary:
Electronic total energy = -3.07 eV per atom
Formation energy = -0.1076 eV per atom
Calculated volume = 111.9 Å³/f.u.

9.
Material: NaSrSe
Method: DFT, PBE
State: relaxed

a b c (Å): 4.047 4.337 11.321
angles (deg): 90.00 90.00 90.00
Fractional positions:
Se 0.500 0.000 0.714
Sr 0.000 0.500 0.623
Sr 0.000 0.000 0.948
Na 0.500 0.000 0.399
Se 0.500 0.500 0.038
Na 0.000 0.500 0.232

Summary:
Electronic total energy = -3.34 eV per atom
Energy relative to the elements, uncorrected = -1.18 eV/atom
Calculated volume = 99.4 Å³/f.u.

10.
Material: Ag8Te6Se
Method: DFT, PBE
State: relaxed

a b c (Å): 8.192 8.795 11.280
angles (deg): 90.00 90.00 90.00
Fractional positions:
Te 0.262 0.821 0.114
Ag 0.152 0.728 0.346
Te 0.179 0.000 0.752
Ag 0.848 0.772 0.846
Te 0.738 0.321 0.614
Te 0.738 0.679 0.614
Ag 0.425 0.000 0.918
Te 0.821 0.500 0.252
Ag 0.089 0.725 0.623
Ag 0.259 0.000 0.512
Ag 0.848 0.228 0.846
Ag 0.434 0.226 0.722
Ag 0.741 0.500 0.012
Ag 0.911 0.775 0.123
Se 0.252 0.500 0.027
Ag 0.434 0.774 0.722
Ag 0.152 0.272 0.346
Te 0.740 0.000 0.994
Se 0.748 0.000 0.527
Te 0.025 0.500 0.861
Ag 0.089 0.275 0.623
Te 0.975 0.000 0.361
Te 0.476 0.500 0.863
Te 0.262 0.179 0.114
Ag 0.575 0.500 0.418
Ag 0.911 0.225 0.123
Ag 0.566 0.274 0.222
Ag 0.566 0.726 0.222
Te 0.524 0.000 0.363
Te 0.260 0.500 0.494

Summary:
Electronic total energy = -3.00 eV per atom
Energy relative to the elements, uncorrected = 0.01 eV/atom
Calculated volume = 406.4 Å³/f.u.

11.
Material: ZnPd2Pt5
Method: DFT, PBE
State: relaxed

a b c (Å): 3.925 3.925 8.420
angles (deg): 103.48 103.48 90.00
Fractional positions:
Pt 0.122 0.622 0.244
Pt 0.378 0.878 0.756
Pd 0.253 0.253 0.506
Zn 0.000 0.000 0.000
Pd 0.747 0.747 0.494
Pt 0.622 0.122 0.244
Pt 0.500 0.500 0.000
Pt 0.878 0.378 0.756

Summary:
Electronic total energy = -5.43 eV per atom
Formation energy = -0.2007 eV per atom
Calculated volume = 122.5 Å³/f.u.

12.
Material: NdSc3Te6
Method: DFT, PBE
State: relaxed

a b c (Å): 4.238 12.107 12.402
angles (deg): 109.36 90.00 90.00
Fractional positions:
Te 0.250 0.878 0.531
Te 0.750 0.915 0.089
Te 0.250 0.521 0.384
Te 0.750 0.122 0.469
Te 0.250 0.202 0.249
Sc 0.250 0.844 0.915
Te 0.750 0.798 0.751
Nd 0.750 0.051 0.702
Sc 0.750 0.440 0.839
Te 0.250 0.268 0.726
Te 0.750 0.390 0.059
Te 0.750 0.479 0.616
Te 0.250 0.610 0.941
Te 0.750 0.732 0.274
Sc 0.250 0.318 0.498
Te 0.250 0.085 0.911
Sc 0.250 0.560 0.161
Nd 0.250 0.949 0.298
Sc 0.750 0.156 0.085
Sc 0.750 0.682 0.502

Summary:
Electronic total energy = -5.52 eV per atom
Energy relative to the elements, uncorrected = -1.26 eV/atom
Calculated volume = 300.2 Å³/f.u.

Q: What is the calculated volume in the twelfth record?
A: 300.2 Å³/f.u.

Q: Among the records above, which one has the lowest calculated volume?
A: AlIN3

Q: Which of these has the lowest calculated volume?
A: AlIN3